Below is KCoRhO3 after structural relaxation, with properties calculated at the PBE+U level.

The structure belongs to space group Cmcm (No. 63); the cell edges are 3.320, 12.329 and 8.472 Å and the angles 90.00°, 90.00° and 90.00°. Symmetry generates all atoms from K at (0.000, 0.220, 0.250), Co at (0.000, 0.045, 0.750), Rh at (0.000, 0.500, 0.000), O at (0.000, 0.105, 0.539) and O at (0.000, 0.452, 0.750).

The value obtained for the raw total energy is -5.6281 eV per atom. The volume is 14.4 Å³/atom.